Entry 1:
An optimized crystal structure of SrCrB2Ir, computed with PBE.

Summary:
The spin magnetization is 0.0093 μB per atom. As for the density of states at the Fermi level: 8.120 states/eV per cell. Its formation energy is 3.279 eV per atom. The space group is P4/mmm (123). The total energy is -3.43 eV per atom. The value obtained for the density is 5.68 g/cm3.

a = 4.4762 Å, b = 5.1555 Å, c = 4.4762 Å
α = 90.00°, β = 90.00°, γ = 90.00°
Closest atoms and distances in Å follow each position.
Element x y z (fractional)
Sr 0.0000 0.0000 0.0000  4 B 2.24
B 0.0000 0.0000 0.5000  2 Sr 2.24
B 0.5000 0.0000 0.0000  2 Sr 2.24
Ir 0.0000 0.5000 0.0000  2 Sr 2.58
Cr 0.5000 0.5000 0.5000  4 Ir 3.17, 8 B 3.41



Entry 2:
An optimized crystal structure of Zn2CrB2Ir5, computed with PBE.

Summary:
The spin magnetization is 0.1888 μB per atom. As for the density of states at the Fermi level: 8.460 states/eV per cell. Its formation energy is -0.162 eV per atom. The space group is P4/mbm (127). The total energy is -7.15 eV per atom. The value obtained for the density is 14.97 g/cm3.

a = 2.8750 Å, b = 9.4850 Å, c = 9.4850 Å
α = 90.00°, β = 90.00°, γ = 90.00°
Closest atoms and distances in Å follow each position.
Element x y z (fractional)
Zn 0.0000 0.6767 0.1767  3 B 2.66-2.90, 6 Ir 2.77, 2 Zn 2.87
Zn 0.0000 0.3233 0.8233  3 B 2.66-2.90, 6 Ir 2.77, 2 Zn 2.87
Zn 0.0000 0.1767 0.3233  3 B 2.66-2.90, 6 Ir 2.77, 2 Zn 2.87
Zn 0.0000 0.8233 0.6767  3 B 2.66-2.90, 6 Ir 2.77, 2 Zn 2.87
Cr 0.0000 0.0000 0.0000  8 Ir 2.57, 2 Cr 2.87
Cr 0.0000 0.5000 0.5000  8 Ir 2.57, 2 Cr 2.87
B 0.0000 0.1248 0.6248  6 Ir 2.16-2.21
B 0.0000 0.8752 0.3752  6 Ir 2.16-2.21
B 0.0000 0.6248 0.8752  6 Ir 2.16-2.21
B 0.0000 0.3752 0.1248  6 Ir 2.16-2.21
Ir 0.5000 0.2120 0.0756  2 B 2.16
Ir 0.5000 0.7880 0.9244  2 B 2.16
Ir 0.5000 0.0756 0.7880  2 B 2.16
Ir 0.5000 0.7120 0.4244  2 B 2.16
Ir 0.5000 0.9244 0.2120  2 B 2.16
Ir 0.5000 0.2880 0.5756  2 B 2.16
Ir 0.5000 0.5756 0.7120  2 B 2.16
Ir 0.5000 0.4244 0.2880  2 B 2.16
Ir 0.5000 0.5000 0.0000  4 B 2.21
Ir 0.5000 0.0000 0.5000  4 B 2.21